This record from Alexandria describes SmGa3NiAg after structural relaxation. The functional is PBE-GGA. Values from VASP.

## Properties
Total magnetic moment: 0.00 μB/atom
Energy relative to the elements: -0.279 eV per atom
Electronic total energy: -4.0173 eV per atom

Geometry as Quantum ESPRESSO input:
```
&SYSTEM
  ibrav = 0, nat = 12, ntyp = 4
/
ATOMIC_SPECIES
Sm 150.36 Sm.upf
Ga 69.72 Ga.upf
Ni 58.69 Ni.upf
Ag 107.87 Ag.upf
CELL_PARAMETERS angstrom
6.155 0.000 0.000
0.000 5.909 0.000
0.000 -2.954 6.201
ATOMIC_POSITIONS crystal
Sm 0.750 0.282 0.564
Sm 0.250 0.718 0.436
Ga 0.250 0.135 0.270
Ga 0.000 0.281 0.000
Ga 0.500 0.719 0.000
Ga 0.500 0.281 0.000
Ga 0.000 0.719 0.000
Ga 0.750 0.865 0.730
Ni 0.250 0.932 0.865
Ni 0.750 0.068 0.135
Ag 0.250 0.346 0.692
Ag 0.750 0.654 0.308
```

=====

This record from Alexandria describes Sm2Ga4Ni3Ag after structural relaxation. The functional is PBE-GGA. Values from VASP.

## Properties
Total magnetic moment: 0.00 μB/atom
Energy relative to the elements: -0.509 eV per atom
Electronic total energy: -4.6832 eV per atom

Geometry as Quantum ESPRESSO input:
```
&SYSTEM
  ibrav = 0, nat = 10, ntyp = 4
/
ATOMIC_SPECIES
Sm 150.36 Sm.upf
Ga 69.72 Ga.upf
Ni 58.69 Ni.upf
Ag 107.87 Ag.upf
CELL_PARAMETERS angstrom
4.103 0.000 0.000
0.000 4.103 0.000
0.000 0.000 10.529
ATOMIC_POSITIONS crystal
Sm 0.500 0.000 0.234
Sm 0.000 0.500 0.766
Ga 0.500 0.500 0.000
Ga 0.000 0.000 0.000
Ga 0.500 0.000 0.646
Ga 0.000 0.500 0.354
Ni 0.000 0.000 0.500
Ni 0.500 0.000 0.872
Ni 0.000 0.500 0.128
Ag 0.500 0.500 0.500
```